DFT (PBE) results for crystalline YRhW at its relaxed geometry.

## Properties
density	10225	kg/m³
V	61	Å³/f.u.
M_tot	0.00	μB/cell
energy of formation	-137	meV per atom
electronic total energy	-54.36	eV per cell
density of states at the Fermi level	1.04	states/eV/atom
distance to the lowest polymorph of the same formula	4.49	kcal/mol of atoms

a = 5.3053 Å, b = 4.2896 Å, c = 5.5418 Å
α = 90.00°, β = 104.65°, γ = 90.00°
Closest atoms and distances in Å follow each position.
Element x y z (fractional)
Y 0.5608 0.7500 0.2463  4 Rh 2.78-3.07
Rh 0.8870 0.2500 0.5815  3 W 2.61-2.78, 2 Rh 2.72, 2 Y 2.78-2.84
W 0.9542 0.7500 0.8599  3 Rh 2.61-2.78, 2 W 2.62
W 0.0458 0.2500 0.1401  3 Rh 2.61-2.78, 2 W 2.62
Y 0.4392 0.2500 0.7537  4 Rh 2.78-3.07
Rh 0.1130 0.7500 0.4185  3 W 2.61-2.78, 2 Rh 2.72, 2 Y 2.78-2.84